1.
The following is a DFT calculation (GGA-PBE) of a geometry-optimized RbTl2P2S6 structure.

The structure in POSCAR format:
```
RbTl2P2S6
1.0
-5.529 0.593 4.077
-6.332 -0.424 -2.695
-3.924 -8.901 1.803
Rb Tl P S
1 2 2 6
Direct
0.000 0.000 0.000
0.792 0.792 0.624
0.208 0.208 0.376
0.427 0.427 0.719
0.573 0.573 0.281
0.731 0.731 0.304
0.235 0.731 0.304
0.731 0.235 0.304
0.269 0.765 0.696
0.765 0.269 0.696
0.269 0.269 0.696
```

The final energy comes out at -4.13 eV per atom. Its formation energy without anion corrections is -0.3818 eV per atom. The calculation puts the density of states at the Fermi level at 3.835 states/eV/cell. For the theoretical density, the calculation gives 3.33 g/cm³.

2.
The following is a DFT calculation (GGA-PBE) of a geometry-optimized NaInSn2Se6 structure.

The structure in POSCAR format:
```
NaInSn2Se6
1.0
7.609 0.109 0.113
2.571 9.230 0.227
2.571 -0.115 9.232
Na In Sn Se
2 2 4 12
Direct
0.250 0.862 0.138
0.750 0.138 0.862
0.250 0.195 0.805
0.750 0.805 0.195
0.300 0.774 0.619
0.200 0.381 0.226
0.700 0.226 0.381
0.800 0.619 0.774
0.137 0.951 0.834
0.363 0.166 0.049
0.863 0.049 0.166
0.637 0.834 0.951
0.411 0.900 0.375
0.089 0.625 0.100
0.589 0.100 0.625
0.911 0.375 0.900
0.038 0.689 0.548
0.462 0.452 0.311
0.962 0.311 0.452
0.538 0.548 0.689
```

The final energy comes out at -3.76 eV per atom. Its formation energy without anion corrections is -0.4584 eV per atom. For the theoretical density, the calculation gives 4.38 g/cm³.

3.
The following is a DFT calculation (GGA-PBE) of a geometry-optimized InSi3Pb structure.

The structure in POSCAR format:
```
InSi3Pb
1.0
-0.130 4.773 -1.941
-4.987 0.372 1.249
1.297 1.910 4.609
Pb Si In
1 3 1
Direct
0.500 0.500 0.500
0.000 0.500 0.000
0.000 0.000 0.500
0.500 0.000 0.000
0.000 0.000 0.000
```

The final energy comes out at -3.42 eV per atom. Its formation energy without anion corrections is 1.1198 eV per atom. The calculation puts the density of states at the Fermi level at 2.848 states/eV/cell. For the theoretical density, the calculation gives 4.93 g/cm³. Its distance to the lowest polymorph of the same formula is 0.0 meV/atom.

4.
The following is a DFT calculation (GGA-PBE) of a geometry-optimized ZnCd3In structure.

The structure in POSCAR format:
```
ZnCd3In
1.0
-1.375 5.028 -3.806
-6.970 -4.443 -3.352
0.226 6.258 8.185
Zn Cd In
4 12 4
Direct
0.177 0.976 0.551
0.823 0.024 0.449
0.677 0.024 0.949
0.323 0.976 0.051
0.241 0.089 0.356
0.759 0.911 0.644
0.741 0.911 0.144
0.259 0.089 0.856
0.503 0.736 0.331
0.497 0.264 0.669
0.003 0.264 0.169
0.997 0.736 0.831
0.148 0.631 0.501
0.852 0.369 0.499
0.648 0.369 0.999
0.352 0.631 0.001
0.013 0.643 0.213
0.987 0.357 0.787
0.513 0.357 0.287
0.487 0.643 0.713
```

The final energy comes out at -1.29 eV per atom. The calculation puts the density of states at the Fermi level at 7.579 states/eV/cell. Its formation energy from the elements is 63 meV/atom. For the theoretical density, the calculation gives 7.37 g/cm³. Its distance to the lowest polymorph of the same formula is 0.0 meV/atom.

Please write out number 1 again, unchanged.
The following is a DFT calculation (GGA-PBE) of a geometry-optimized RbTl2P2S6 structure.

The structure in POSCAR format:
```
RbTl2P2S6
1.0
-5.529 0.593 4.077
-6.332 -0.424 -2.695
-3.924 -8.901 1.803
Rb Tl P S
1 2 2 6
Direct
0.000 0.000 0.000
0.792 0.792 0.624
0.208 0.208 0.376
0.427 0.427 0.719
0.573 0.573 0.281
0.731 0.731 0.304
0.235 0.731 0.304
0.731 0.235 0.304
0.269 0.765 0.696
0.765 0.269 0.696
0.269 0.269 0.696
```

The final energy comes out at -4.13 eV per atom. Its formation energy without anion corrections is -0.3818 eV per atom. The calculation puts the density of states at the Fermi level at 3.835 states/eV/cell. For the theoretical density, the calculation gives 3.33 g/cm³.

- The lowest theoretical density belongs to which entry?
  RbTl2P2S6